No. 1
A relaxed Tm3Mg3TlCdHg crystal. Source: OQMD via LeMat-Bulk, functional GGA-PBE.

Calculated values
**Energy**: -24.384 eV/cell

a b c (Å): 7.4354 7.4354 4.5650
angles (deg): 90.00 90.00 120.00
Element x y z (fractional)
Cd (0.6667, 0.3333, 0.5000)
Hg (0.0000, 0.0000, 0.0000)
Mg (0.2423, 0.0037, 0.5000)
Mg (0.9963, 0.2386, 0.5000)
Mg (0.7614, 0.7577, 0.5000)
Tl (0.3333, 0.6667, 0.5000)
Tm (0.5814, 0.0012, 0.0000)
Tm (0.4197, 0.4186, 0.0000)
Tm (0.9988, 0.5803, 0.0000)

=====

No. 2
A relaxed Na10Sn12W crystal. Source: OQMD via LeMat-Bulk, functional GGA-PBE.

Calculated values
**Energy**: -74.518 eV/cell

a b c (Å): 9.5943 9.5943 9.5943
angles (deg): 109.47 109.47 109.47
Each line ends with the local moment (μB).
Element x y z (fractional)
Na (0.3815, 0.0000, 0.0000)  0.00
Na (0.0000, 0.3815, 0.0000)  0.00
Na (0.7500, 0.5000, 0.2500)  0.00
Na (0.5000, 0.7500, 0.2500)  0.00
Na (0.0000, 0.0000, 0.3815)  0.00
Na (0.7500, 0.2500, 0.5000)  0.00
Na (0.2500, 0.7500, 0.5000)  0.00
Na (0.6185, 0.6185, 0.6185)  0.00
Na (0.5000, 0.2500, 0.7500)  0.00
Na (0.2500, 0.5000, 0.7500)  0.00
Sn (0.8134, 0.6325, 0.0000)  0.00
Sn (0.6325, 0.8134, 0.0000)  0.00
Sn (0.3675, 0.3675, 0.1809)  0.00
Sn (0.8191, 0.1866, 0.1866)  0.00
Sn (0.1866, 0.8191, 0.1866)  0.00
Sn (0.3675, 0.1809, 0.3675)  0.00
Sn (0.1809, 0.3675, 0.3675)  0.00
Sn (0.8134, 0.0000, 0.6325)  0.00
Sn (0.0000, 0.8134, 0.6325)  0.00
Sn (0.6325, 0.0000, 0.8134)  0.00
Sn (0.0000, 0.6325, 0.8134)  0.00
Sn (0.1866, 0.1866, 0.8191)  -0.01
W (0.0000, 0.0000, 0.0000)  1.51

=====

No. 3
A relaxed TbHoCo2Ge2C crystal. Source: OQMD via LeMat-Bulk, functional GGA-PBE.

Calculated values
**Energy**: -46.247 eV/cell

a b c (Å): 5.7081 5.7081 6.8313
angles (deg): 125.59 125.59 40.18
Element x y z (fractional)
C (0.0008, 0.0008, 0.0026)
Co (0.1922, 0.1922, 0.0823)
Co (0.8085, 0.8085, 0.9184)
Ge (0.8373, 0.8373, 0.2967)
Ge (0.1621, 0.1621, 0.7016)
Ho (0.5585, 0.5585, 0.2910)
Tb (0.4408, 0.4408, 0.7075)

=====

No. 4
A relaxed Pm4SiBr3 crystal. Source: OQMD via LeMat-Bulk, functional GGA-PBE.

Calculated values
**Energy**: -37.389 eV/cell

a b c (Å): 5.9627 5.9627 5.9627
angles (deg): 90.00 90.00 90.00
Element x y z (fractional)
Br (0.5000, 0.5000, 0.0000)
Br (0.5000, 0.0000, 0.5000)
Br (0.0000, 0.5000, 0.5000)
Pm (0.5000, 0.0000, 0.0000)
Pm (0.0000, 0.5000, 0.0000)
Pm (0.0000, 0.0000, 0.5000)
Pm (0.5000, 0.5000, 0.5000)
Si (0.0000, 0.0000, 0.0000)